The following is a DFT calculation (GGA-PBE) of TmGe3Os3 after structural relaxation.

a b c (Å): 6.719 6.719 6.719
angles (deg): 90.00 90.00 90.00
Space group Pm-3n (No. 223)
Asymmetric unit:
Tm (0.000, 0.000, 0.000) [2 per cell]
Ge (0.000, 0.250, 0.500) [6 per cell]
Os (0.000, 0.500, 0.250) [6 per cell]

Properties
VASP energy ... -96.39 eV per cell
Size of the total moment ... 0.0 Bohr magnetons per cell